First-principles (PBE-GGA) data for a geometry-optimized DyTmCu4 structure, as listed in the Open Quantum Materials Database.

Unit cell a=3.4893 b=3.4893 c=8.5900 alpha=90.00 beta=90.00 gamma=90.00
Fractional positions:
Dy 0.0000 0.0000 0.0000
Tm 0.5000 0.5000 0.5000
Cu 0.0000 0.0000 0.3301
Cu 0.0000 0.0000 0.6699
Cu 0.5000 0.5000 0.1757
Cu 0.5000 0.5000 0.8243

Computed properties:
As for the total moment: 0.0 μB/f.u. The formation energy from the elements is -0.1970 eV per atom. The final energy is -25.13 eV for the cell shown.

---

First-principles (PBE-GGA) data for a geometry-optimized PrBPO structure, as listed in the Open Quantum Materials Database.

Unit cell a=6.1449 b=6.1449 c=4.3769 alpha=90.00 beta=90.00 gamma=90.00
Fractional positions:
Pr 0.2500 0.7500 0.0000
Pr 0.7500 0.2500 0.0000
B 0.2500 0.2500 0.3181
B 0.7500 0.7500 0.6819
P 0.2500 0.2500 0.8926
P 0.7500 0.7500 0.1074
O 0.2500 0.7500 0.5000
O 0.7500 0.2500 0.5000

Computed properties:
As for the total moment: 0.0 μB/f.u. The calculation puts the distance to the lowest polymorph of the same formula at 901 meV/atom. The final energy is -47.43 eV for the cell shown.

---

First-principles (PBE-GGA) data for a geometry-optimized SmYNCl3 structure, as listed in the Open Quantum Materials Database.

Unit cell a=8.2183 b=8.2183 c=10.6202 alpha=118.54 beta=118.54 gamma=27.50
Fractional positions:
Sm 0.1370 0.1370 0.2935
Sm 0.8630 0.8630 0.7065
Y 0.4137 0.4137 0.0476
Y 0.5863 0.5863 0.9524
N 0.4255 0.4255 0.8452
N 0.5745 0.5745 0.1548
Cl 0.0531 0.0531 0.7496
Cl 0.2220 0.2220 0.1092
Cl 0.3377 0.3377 0.4841
Cl 0.6623 0.6623 0.5159
Cl 0.7780 0.7780 0.8908
Cl 0.9469 0.9469 0.2504

Computed properties:
As for the total moment: 0.0 μB/f.u. The calculation puts the distance to the lowest polymorph of the same formula at 0 meV/atom. The final energy is -75.42 eV for the cell shown.

---

First-principles (PBE-GGA) data for a geometry-optimized Na4ZnGeAu2 structure, as listed in the Open Quantum Materials Database.

Unit cell a=4.8577 b=4.8577 c=6.7599 alpha=90.00 beta=90.00 gamma=90.00
Fractional positions:
Na 0.0000 0.0000 0.0000
Na 0.0000 0.5000 0.7452
Na 0.5000 0.0000 0.2548
Na 0.5000 0.5000 0.5000
Zn 0.0000 0.0000 0.5000
Ge 0.5000 0.5000 0.0000
Au 0.0000 0.5000 0.2467
Au 0.5000 0.0000 0.7533

Computed properties:
The final energy is -18.96 eV for the cell shown.

---

First-principles (PBE-GGA) data for a geometry-optimized Tb2DyIn3PdPt2 structure, as listed in the Open Quantum Materials Database.

Unit cell a=3.8436 b=7.7197 c=7.7197 alpha=119.94 beta=90.00 gamma=90.00
Fractional positions:
Tb 0.0000 0.2051 0.7949
Tb 0.0000 0.7949 0.2051
Dy 0.0000 0.3847 0.3847
In 0.5000 0.0536 0.0536
In 0.5000 0.5364 0.7946
In 0.5000 0.7946 0.5364
Pd 0.0000 0.7946 0.7946
Pt 0.5000 0.1290 0.4614
Pt 0.5000 0.4614 0.1290

Computed properties:
As for the total moment: 0.0 μB/f.u. The final energy is -47.99 eV for the cell shown.

---

First-principles (PBE-GGA) data for a geometry-optimized Mg4AlGaPd2 structure, as listed in the Open Quantum Materials Database.

Unit cell a=4.4260 b=4.4260 c=8.6208 alpha=90.00 beta=90.00 gamma=120.00
Fractional positions:
Mg 0.0000 0.0000 0.1691
Mg 0.0000 0.0000 0.8309
Mg 0.3333 0.6667 0.3310
Mg 0.3333 0.6667 0.6690
Al 0.6667 0.3333 0.5000
Ga 0.6667 0.3333 0.0000
Pd 0.0000 0.0000 0.5000
Pd 0.3333 0.6667 0.0000

Computed properties:
The final energy is -27.35 eV for the cell shown.

---

First-principles (PBE-GGA) data for a geometry-optimized Nd2DyAl3Si2Pd structure, as listed in the Open Quantum Materials Database.

Unit cell a=4.3215 b=7.0261 c=7.0261 alpha=120.11 beta=90.00 gamma=90.00
Fractional positions:
Nd 0.0000 0.2084 0.7916
Nd 0.0000 0.7916 0.2084
Dy 0.0000 0.6252 0.6252
Al 0.5000 0.2132 0.4463
Al 0.5000 0.4463 0.2132
Al 0.5000 0.9715 0.9715
Si 0.5000 0.5455 0.8687
Si 0.5000 0.8687 0.5455
Pd 0.0000 0.2172 0.2172

Computed properties:
As for the total moment: 0.0 μB/f.u. The final energy is -48.11 eV for the cell shown.

---

First-principles (PBE-GGA) data for a geometry-optimized Li2ReNi structure, as listed in the Open Quantum Materials Database.

Unit cell a=5.7865 b=5.7865 c=5.7865 alpha=90.00 beta=90.00 gamma=90.00
Fractional positions:
Li 0.0000 0.0000 0.0000
Li 0.0000 0.5000 0.5000
Li 0.2500 0.2500 0.2500
Li 0.2500 0.7500 0.7500
Li 0.5000 0.0000 0.5000
Li 0.5000 0.5000 0.0000
Li 0.7500 0.2500 0.7500
Li 0.7500 0.7500 0.2500
Re 0.0000 0.0000 0.5000
Re 0.0000 0.5000 0.0000
Re 0.5000 0.0000 0.0000
Re 0.5000 0.5000 0.5000
Ni 0.2500 0.2500 0.7500
Ni 0.2500 0.7500 0.2500
Ni 0.7500 0.2500 0.2500
Ni 0.7500 0.7500 0.7500

Computed properties:
As for the total moment: 1.1 μB/f.u. The final energy is -80.12 eV for the cell shown.

---

First-principles (PBE-GGA) data for a geometry-optimized RbSmEr structure, as listed in the Open Quantum Materials Database.

Unit cell a=8.4374 b=8.4374 c=8.4374 alpha=90.00 beta=90.00 gamma=90.00
Fractional positions:
Rb 0.0000 0.0000 0.0000
Rb 0.0000 0.5000 0.5000
Rb 0.5000 0.0000 0.5000
Rb 0.5000 0.5000 0.0000
Sm 0.2500 0.2500 0.7500
Sm 0.2500 0.7500 0.2500
Sm 0.7500 0.2500 0.2500
Sm 0.7500 0.7500 0.7500
Er 0.0000 0.0000 0.5000
Er 0.0000 0.5000 0.0000
Er 0.5000 0.0000 0.0000
Er 0.5000 0.5000 0.5000

Computed properties:
As for the total moment: 0.8 μB/f.u. The final energy is -26.05 eV for the cell shown.

---

First-principles (PBE-GGA) data for a geometry-optimized AcYTh structure, as listed in the Open Quantum Materials Database.

Unit cell a=7.9152 b=7.9152 c=7.9152 alpha=90.00 beta=90.00 gamma=90.00
Fractional positions:
Ac 0.0000 0.0000 0.0000
Ac 0.0000 0.5000 0.5000
Ac 0.5000 0.0000 0.5000
Ac 0.5000 0.5000 0.0000
Y 0.2500 0.2500 0.2500
Y 0.2500 0.7500 0.7500
Y 0.7500 0.2500 0.7500
Y 0.7500 0.7500 0.2500
Th 0.0000 0.0000 0.5000
Th 0.0000 0.5000 0.0000
Th 0.5000 0.0000 0.0000
Th 0.5000 0.5000 0.5000

Computed properties:
As for the total moment: 0.0 μB/f.u. The calculation puts the distance to the lowest polymorph of the same formula at 0 meV/atom. The formation energy from the elements is 0.7770 eV per atom. The final energy is -62.61 eV for the cell shown.

---

First-principles (PBE-GGA) data for a geometry-optimized Re2BW structure, as listed in the Open Quantum Materials Database.

Unit cell a=2.9901 b=9.3216 c=7.3251 alpha=90.00 beta=90.00 gamma=90.00
Fractional positions:
Re 0.0000 0.1383 0.0579
Re 0.0000 0.1383 0.4421
Re 0.0000 0.8617 0.5579
Re 0.0000 0.8617 0.9421
Re 0.5000 0.3617 0.5579
Re 0.5000 0.3617 0.9421
Re 0.5000 0.6383 0.0579
Re 0.5000 0.6383 0.4421
B 0.0000 0.2620 0.7500
B 0.0000 0.7380 0.2500
B 0.5000 0.2380 0.2500
B 0.5000 0.7620 0.7500
W 0.0000 0.4281 0.2500
W 0.0000 0.5719 0.7500
W 0.5000 0.0719 0.7500
W 0.5000 0.9281 0.2500

Computed properties:
As for the total moment: 0.0 μB/f.u. The final energy is -181.58 eV for the cell shown.

---

First-principles (PBE-GGA) data for a geometry-optimized HfBPO structure, as listed in the Open Quantum Materials Database.

Unit cell a=3.8583 b=3.8583 c=6.1396 alpha=90.00 beta=90.00 gamma=90.00
Fractional positions:
Hf 0.2500 0.2500 0.1812
Hf 0.7500 0.7500 0.8188
B 0.2500 0.7500 0.5000
B 0.7500 0.2500 0.5000
P 0.2500 0.2500 0.5997
P 0.7500 0.7500 0.4003
O 0.2500 0.7500 0.0000
O 0.7500 0.2500 0.0000

Computed properties:
As for the total moment: 0.0 μB/f.u. The calculation puts the distance to the lowest polymorph of the same formula at 6 meV/atom. The final energy is -62.91 eV for the cell shown.

---

Question: What is the formula in the sixth record?
Answer: Mg4AlGaPd2

---

Question: Among the records above, which one has the lowest final energy?
Answer: Re2BW

---

Question: What is the formula in the third record?
Answer: SmYNCl3